Below is a geometry-optimized Be2CuN structure, with properties calculated at the PBE level.

Values from the calculation:
Total DFT energy (no corrections) (eV/atom): -5.409
Volume (Å³/f.u.): 34
Raw formation energy (eV per atom): -0.441
SG: P1 (1)

abc: 2.625 4.454 6.395
angles: 110.02 101.40 90.04
Positions (direct):
1 Be 0.000 0.000 0.000
2 Be 0.001 0.459 0.001
3 Be 0.356 0.353 0.702
4 Be 0.357 0.812 0.703
5 Cu 0.190 0.906 0.351
6 Cu 0.687 0.406 0.352
7 N 0.460 0.188 0.916
8 N 0.897 0.624 0.787